First-principles (PBE-GGA) data for a relaxed BeZn2Tc crystal, as listed in the Alexandria database.

a = 2.852 Å, b = 2.852 Å, c = 6.314 Å
α = 90.00°, β = 90.00°, γ = 90.00°
Fractional positions:
Be 0.000 0.000 0.000
Zn 0.500 0.500 0.217
Zn 0.500 0.500 0.783
Tc 0.000 0.000 0.500

Calculated formation energy   223 meV per atom
M_tot   1.25 μB per cell
Symmetry   No. 123
DOS at the Fermi energy   2.44 states/eV/f.u.



First-principles (PBE-GGA) data for a relaxed La2BeNi crystal, as listed in the Alexandria database.

a = 6.377 Å, b = 6.377 Å, c = 6.377 Å
α = 104.85°, β = 104.85°, γ = 119.18°
Fractional positions:
La 0.088 0.625 0.963
La 0.375 0.338 0.463
La 0.662 0.125 0.037
La 0.875 0.912 0.537
Be 0.250 0.750 0.500
Be 0.500 0.500 0.000
Ni 0.000 0.000 0.000
Ni 0.750 0.250 0.500

Calculated formation energy   320 meV per atom
M_tot   0.00 μB per cell
Symmetry   No. 122
DOS at the Fermi energy   5.15 states/eV/f.u.



First-principles (PBE-GGA) data for a relaxed AcZnSbPb crystal, as listed in the Alexandria database.

a = 5.538 Å, b = 5.538 Å, c = 5.538 Å
α = 60.00°, β = 60.00°, γ = 60.00°
Fractional positions:
Ac 0.000 0.000 0.000
Zn 0.250 0.250 0.250
Sb 0.750 0.750 0.750
Pb 0.500 0.500 0.500

M_tot   0.00 μB per cell
Symmetry   No. 216
DOS at the Fermi energy   3.17 states/eV/f.u.



First-principles (PBE-GGA) data for a relaxed Zr6Al16Co7 crystal, as listed in the Alexandria database.

a = 8.520 Å, b = 8.520 Å, c = 8.520 Å
α = 60.00°, β = 60.00°, γ = 60.00°
Fractional positions:
Zr 0.195 0.195 0.805
Zr 0.195 0.805 0.195
Zr 0.195 0.805 0.805
Zr 0.805 0.195 0.195
Zr 0.805 0.195 0.805
Zr 0.805 0.805 0.195
Al 0.145 0.618 0.618
Al 0.165 0.165 0.165
Al 0.165 0.165 0.504
Al 0.165 0.504 0.165
Al 0.382 0.382 0.382
Al 0.382 0.382 0.855
Al 0.382 0.855 0.382
Al 0.496 0.835 0.835
Al 0.504 0.165 0.165
Al 0.618 0.145 0.618
Al 0.618 0.618 0.145
Al 0.618 0.618 0.618
Al 0.835 0.496 0.835
Al 0.835 0.835 0.496
Al 0.835 0.835 0.835
Al 0.855 0.382 0.382
Co 0.000 0.000 0.500
Co 0.000 0.500 0.000
Co 0.000 0.500 0.500
Co 0.500 0.000 0.000
Co 0.500 0.000 0.500
Co 0.500 0.500 0.000
Co 0.500 0.500 0.500

Calculated formation energy   -577 meV per atom
M_tot   2.26 μB per cell
Symmetry   No. 225
DOS at the Fermi energy   27.53 states/eV/f.u.



First-principles (PBE-GGA) data for a relaxed LiTc2Br crystal, as listed in the Alexandria database.

a = 6.085 Å, b = 6.085 Å, c = 3.515 Å
α = 106.74°, β = 106.74°, γ = 131.64°
Fractional positions:
Li 0.000 0.000 0.000
Tc 0.000 0.500 0.500
Tc 0.500 0.000 0.500
Br 0.500 0.500 0.000

M_tot   0.00 μB per cell
Symmetry   No. 12
Offset from the most stable computed form   0.386 eV per atom
DOS at the Fermi energy   2.63 states/eV/f.u.



First-principles (PBE-GGA) data for a relaxed Ce2PmNbN4 crystal, as listed in the Alexandria database.

a = 5.981 Å, b = 3.436 Å, c = 5.989 Å
α = 90.00°, β = 109.15°, γ = 90.00°
Fractional positions:
Ce 0.000 0.000 0.000
Ce 0.000 0.500 0.500
Pm 0.500 0.000 0.500
Nb 0.500 0.500 0.000
N 0.262 0.500 0.226
N 0.271 0.000 0.777
N 0.729 0.000 0.223
N 0.738 0.500 0.774

M_tot   0.00 μB per cell
Symmetry   No. 10
DOS at the Fermi energy   4.55 states/eV/f.u.



no.,E (eV/atom)
1,-3.94
2,-4.52
3,-3.62
4,-6.13
5,-5.66
6,-8.85